Dy2Pa2Rh3: optimized geometry, PBE.

Cell: 3.9735 5.8867 7.1985 Å, 89.21 73.97 90.00°
Fractional positions:
Dy 0.6463 0.1151 0.7073
Dy 0.3537 0.8849 0.2927
Pa 0.9070 0.3972 0.1870
Pa 0.0930 0.6028 0.8130
Rh 0.7205 0.6554 0.5588
Rh 0.0000 0.0000 0.0000
Rh 0.2795 0.3446 0.4412

Calculated values
ΔE_f (kJ per mole of atoms): -60.6
Total magnetic moment (μB/f.u.): 0.0